First-principles (PBE-GGA) data for a relaxed structure of KSn3Se6, as listed in Alexandria via LeMat-Bulk.

POSCAR file:
```
KSn3Se6
1.0
12.513 0.000 0.000
0.000 3.939 0.000
-3.529 0.000 13.752
K Sn Se
2 6 12
direct
0.139 0.250 0.409
0.861 0.750 0.591
0.073 0.750 0.918
0.204 0.250 0.733
0.489 0.750 0.618
0.511 0.250 0.382
0.796 0.750 0.267
0.927 0.250 0.082
0.001 0.250 0.778
0.136 0.750 0.601
0.137 0.250 0.055
0.273 0.750 0.874
0.365 0.750 0.433
0.426 0.250 0.729
0.574 0.750 0.271
0.635 0.250 0.567
0.727 0.250 0.126
0.863 0.750 0.945
0.864 0.250 0.399
0.999 0.750 0.222
```

The value obtained for the calculated density is 4.257 g/cm3. The uncorrected formation energy is -0.48 eV per atom. Its space-group type is No. 11. For the volume, the calculation gives 338.94 Å³/f.u.

First-principles (PBE-GGA) data for a relaxed structure of Mo5Pd, as listed in Alexandria via LeMat-Bulk.

POSCAR file:
```
Mo5Pd
1.0
4.401 0.000 0.000
0.000 13.178 0.000
0.000 0.000 3.266
Mo Pd
10 2
direct
0.000 0.000 0.000
0.000 0.161 0.500
0.000 0.329 0.000
0.000 0.671 0.000
0.000 0.839 0.500
0.500 0.171 0.000
0.500 0.339 0.500
0.500 0.500 0.000
0.500 0.661 0.500
0.500 0.829 0.000
0.000 0.500 0.500
0.500 0.000 0.500
```

The value obtained for the calculated density is 10.278 g/cm3. Its space-group type is No. 65. The value obtained for the formation energy from the elements is 121 meV/atom. For the volume, the calculation gives 94.70 Å³/f.u.

First-principles (PBE-GGA) data for a relaxed structure of LiTaNb3, as listed in Alexandria via LeMat-Bulk.

POSCAR file:
```
LiTaNb3
1.0
4.450 0.000 0.000
0.000 4.450 0.000
0.000 0.000 4.450
Li Ta Nb
1 1 3
direct
0.000 0.000 0.000
0.500 0.500 0.500
0.000 0.000 0.500
0.000 0.500 0.000
0.500 0.000 0.000
```

The value obtained for the calculated density is 8.792 g/cm3. For the polymorph energy (0 for the lowest one), the calculation gives 0.000 eV per atom. Its space-group type is No. 221. The value obtained for the formation energy from the elements is 1049 meV/atom. For the volume, the calculation gives 88.13 Å³/f.u.

First-principles (PBE-GGA) data for a relaxed structure of Cs2RbRhCl6, as listed in Alexandria via LeMat-Bulk.

POSCAR file:
```
Cs2RbRhCl6
1.0
0.000 5.488 5.488
5.488 0.000 5.488
5.488 5.488 0.000
Cs Rb Rh Cl
2 1 1 6
direct
0.250 0.250 0.250
0.750 0.750 0.750
0.000 0.000 0.000
0.500 0.500 0.500
0.284 0.284 0.716
0.284 0.716 0.284
0.284 0.716 0.716
0.716 0.284 0.284
0.716 0.284 0.716
0.716 0.716 0.284
```

The value obtained for the calculated density is 3.350 g/cm3. The uncorrected formation energy is -1.45 eV per atom. Its space-group type is No. 225. For the volume, the calculation gives 330.57 Å³/f.u.

First-principles (PBE-GGA) data for a relaxed structure of La2DySn, as listed in Alexandria via LeMat-Bulk.

POSCAR file:
```
La2DySn
1.0
6.839 0.000 0.000
0.000 8.979 0.000
0.000 0.000 8.251
La Dy Sn
8 4 4
direct
0.250 0.047 0.250
0.250 0.453 0.250
0.250 0.547 0.750
0.250 0.953 0.750
0.750 0.047 0.250
0.750 0.453 0.250
0.750 0.547 0.750
0.750 0.953 0.750
0.000 0.250 0.569
0.000 0.750 0.431
0.500 0.250 0.931
0.500 0.750 0.069
0.000 0.250 0.952
0.000 0.750 0.048
0.500 0.250 0.548
0.500 0.750 0.452
```

The value obtained for the calculated density is 7.329 g/cm3. For the polymorph energy (0 for the lowest one), the calculation gives 0.020 eV per atom. Its space-group type is No. 74. The value obtained for the formation energy from the elements is -434 meV/atom. For the volume, the calculation gives 126.66 Å³/f.u.

First-principles (PBE-GGA) data for a relaxed structure of Ba2GaB3Pt12, as listed in Alexandria via LeMat-Bulk.

POSCAR file:
```
Ba2GaB3Pt12
1.0
4.023 2.323 6.031
-4.023 2.323 6.031
0.000 -4.646 6.031
Ba Ga B Pt
2 1 3 12
direct
0.109 0.109 0.109
0.891 0.891 0.891
0.500 0.500 0.500
0.000 0.500 0.500
0.500 0.000 0.500
0.500 0.500 0.000
0.128 0.609 0.609
0.182 0.182 0.579
0.182 0.579 0.182
0.391 0.391 0.872
0.391 0.872 0.391
0.421 0.818 0.818
0.579 0.182 0.182
0.609 0.128 0.609
0.609 0.609 0.128
0.818 0.421 0.818
0.818 0.818 0.421
0.872 0.391 0.391
```

The value obtained for the calculated density is 13.345 g/cm3. Its space-group type is No. 166. The value obtained for the formation energy from the elements is -357 meV/atom. For the volume, the calculation gives 338.18 Å³/f.u.

First-principles (PBE-GGA) data for a relaxed structure of Rh2C, as listed in Alexandria via LeMat-Bulk.

POSCAR file:
```
Rh2C
1.0
5.243 0.000 0.000
0.000 5.243 0.000
0.000 0.000 5.243
Rh C
8 4
direct
0.250 0.250 0.250
0.250 0.250 0.750
0.250 0.750 0.250
0.250 0.750 0.750
0.750 0.250 0.250
0.750 0.250 0.750
0.750 0.750 0.250
0.750 0.750 0.750
0.000 0.000 0.000
0.000 0.500 0.500
0.500 0.000 0.500
0.500 0.500 0.000
```

The value obtained for the calculated density is 10.037 g/cm3. For the polymorph energy (0 for the lowest one), the calculation gives 0.435 eV per atom. Its space-group type is No. 225. The value obtained for the formation energy from the elements is 627 meV/atom. For the volume, the calculation gives 36.04 Å³/f.u.

First-principles (PBE-GGA) data for a relaxed structure of Sr2Cd6InGa, as listed in Alexandria via LeMat-Bulk.

POSCAR file:
```
Sr2Cd6InGa
1.0
5.969 0.000 0.000
0.000 9.223 0.000
0.000 0.000 10.323
Sr Cd In Ga
4 12 2 2
direct
0.250 0.000 0.238
0.250 0.500 0.238
0.750 0.000 0.762
0.750 0.500 0.762
0.002 0.250 0.499
0.004 0.750 0.987
0.250 0.502 0.595
0.250 0.998 0.595
0.496 0.750 0.987
0.498 0.250 0.499
0.502 0.750 0.501
0.504 0.250 0.013
0.750 0.002 0.405
0.750 0.498 0.405
0.996 0.250 0.013
0.998 0.750 0.501
0.250 0.250 0.773
0.750 0.750 0.227
0.250 0.750 0.757
0.750 0.250 0.243
```

The value obtained for the calculated density is 6.044 g/cm3. Its space-group type is No. 59. The value obtained for the formation energy from the elements is -182 meV/atom. For the volume, the calculation gives 284.14 Å³/f.u.

First-principles (PBE-GGA) data for a relaxed structure of NdPt4O12, as listed in Alexandria via LeMat-Bulk.

POSCAR file:
```
NdPt4O12
1.0
-3.758 3.758 3.758
3.758 -3.758 3.758
3.758 3.758 -3.758
Nd Pt O
1 4 12
direct
0.000 0.000 0.000
0.000 0.000 0.500
0.000 0.500 0.000
0.500 0.000 0.000
0.500 0.500 0.500
0.126 0.830 0.296
0.170 0.296 0.467
0.170 0.704 0.874
0.296 0.126 0.830
0.296 0.467 0.170
0.467 0.170 0.296
0.533 0.830 0.704
0.704 0.533 0.830
0.704 0.874 0.170
0.830 0.296 0.126
0.830 0.704 0.533
0.874 0.170 0.704
```

The value obtained for the calculated density is 8.737 g/cm3. The uncorrected formation energy is -0.58 eV per atom. Its space-group type is No. 204. For the volume, the calculation gives 212.21 Å³/f.u.

First-principles (PBE-GGA) data for a relaxed structure of LiPrInPt, as listed in Alexandria via LeMat-Bulk.

POSCAR file:
```
LiPrInPt
1.0
6.952 0.000 0.000
0.000 6.952 0.000
0.000 0.000 6.952
Li Pr In Pt
4 4 4 4
direct
0.000 0.000 0.000
0.000 0.500 0.500
0.500 0.000 0.500
0.500 0.500 0.000
0.250 0.250 0.750
0.250 0.750 0.250
0.750 0.250 0.250
0.750 0.750 0.750
0.250 0.250 0.250
0.250 0.750 0.750
0.750 0.250 0.750
0.750 0.750 0.250
0.000 0.000 0.500
0.000 0.500 0.000
0.500 0.000 0.000
0.500 0.500 0.500
```

The value obtained for the calculated density is 9.051 g/cm3. Its space-group type is No. 216. The value obtained for the formation energy from the elements is -672 meV/atom. For the volume, the calculation gives 83.98 Å³/f.u.

First-principles (PBE-GGA) data for a relaxed structure of Nd2MgH, as listed in Alexandria via LeMat-Bulk.

POSCAR file:
```
Nd2MgH
1.0
3.630 0.000 0.000
-1.815 3.144 0.000
0.000 0.000 25.769
Nd Mg H
6 3 3
direct
0.000 0.000 0.000
0.000 0.000 0.221
0.333 0.667 0.667
0.333 0.667 0.888
0.667 0.333 0.333
0.667 0.333 0.554
0.000 0.000 0.443
0.333 0.667 0.110
0.667 0.333 0.777
0.000 0.000 0.610
0.333 0.667 0.276
0.667 0.333 0.943
```

The value obtained for the calculated density is 5.316 g/cm3. For the polymorph energy (0 for the lowest one), the calculation gives 0.007 eV per atom. Its space-group type is No. 160. For the volume, the calculation gives 98.02 Å³/f.u.

First-principles (PBE-GGA) data for a relaxed structure of Pr2SmZn3, as listed in Alexandria via LeMat-Bulk.

POSCAR file:
```
Pr2SmZn3
1.0
5.210 0.000 0.000
-2.605 4.512 0.000
0.000 0.000 6.395
Pr Sm Zn
2 1 3
direct
0.333 0.667 0.171
0.667 0.333 0.829
0.000 0.000 0.500
0.000 0.000 0.000
0.333 0.667 0.664
0.667 0.333 0.336
```

The value obtained for the calculated density is 6.940 g/cm3. For the polymorph energy (0 for the lowest one), the calculation gives 0.000 eV per atom. Its space-group type is No. 164. The value obtained for the formation energy from the elements is -308 meV/atom. For the volume, the calculation gives 150.35 Å³/f.u.

Q: calculated density of number 4 (Cs2RbRhCl6)?
A: 3.350 g/cm3

Q: Among the records above, which one has the lowest volume?
A: Rh2C